[1]
A relaxed structure of Ga2SiNi. Source: Alexandria, functional PBE.

```
Ga2SiNi
1.0
-0.656 -1.146 3.627
2.835 -2.601 -0.309
6.555 3.754 4.426
Ga Ni Si
4 2 2
direct
0.875 0.896 0.750
0.104 0.625 0.250
0.646 0.125 0.250
0.375 0.354 0.750
0.000 0.000 0.000
0.750 0.250 0.500
0.500 0.500 0.000
0.250 0.750 0.500
```

Computed properties:
Spin magnetization ... 0.000 μB per cell
Raw formation energy ... 6.1 kJ per mole of atoms
SG ... I-42d (122)

[2]
A relaxed structure of HOsBr2. Source: Alexandria, functional PBE.

```
HOsBr2
1.0
-0.785 1.141 4.220
0.347 4.247 1.253
-3.647 2.316 1.032
Os H Br
1 1 2
direct
0.500 0.500 0.500
0.000 0.000 0.000
0.250 0.250 0.250
0.750 0.750 0.750
```

Computed properties:
Spin magnetization ... 0.209 μB per cell
E_tot ... -0.2370 Ry/atom
SG ... Fm-3m (225)

[3]
A relaxed structure of Er5Te4Ir. Source: Alexandria, functional PBE.

```
Er5Te4Ir
1.0
6.063 0.000 0.000
3.031 6.848 0.000
3.031 0.000 6.848
Ir Te Er
1 4 5
direct
0.001 0.000 0.000
0.412 0.400 0.778
0.590 0.600 0.222
0.190 0.222 0.400
0.812 0.778 0.600
0.094 0.649 0.166
0.743 0.166 0.351
0.501 0.000 0.000
0.259 0.834 0.649
0.908 0.351 0.834
```

Computed properties:
Spin magnetization ... 0.003 μB per cell
Raw formation energy ... -114.5 kJ per mole of atoms
SG ... I4/m (87)

[4]
A relaxed structure of Ti3PtN. Source: Alexandria, functional PBE.

```
Ti3PtN
1.0
-5.503 0.717 -1.694
-1.407 -1.099 5.594
0.256 3.951 0.840
Ti Pt N
6 2 2
direct
0.405 0.340 0.110
0.914 0.377 0.110
0.660 0.108 0.610
0.914 0.877 0.110
0.660 0.608 0.610
0.405 0.840 0.110
0.160 0.608 0.610
0.160 0.108 0.610
0.660 0.108 0.110
0.660 0.608 0.110
```

Computed properties:
Spin magnetization ... 0.000 μB per cell
Raw formation energy ... -105.3 kJ per mole of atoms
SG ... P2/m (10)

[5]
A relaxed structure of CuPCl2. Source: Alexandria, functional PBE.

```
CuPCl2
1.0
-1.693 2.205 1.536
1.329 -0.895 2.749
4.455 6.136 -3.896
P Cl Cu
1 2 1
direct
0.500 0.750 0.750
0.000 0.040 0.036
0.000 0.460 0.464
0.500 0.250 0.250
```

Computed properties:
Spin magnetization ... 0.000 μB per cell
Raw formation energy ... 24.7 kJ per mole of atoms
SG ... P2/m (10)

[6]
A relaxed structure of Tb12SmIn3. Source: Alexandria, functional PBE.

```
Tb12SmIn3
1.0
-0.695 -3.234 -3.587
4.829 -0.451 -0.530
0.081 -14.806 13.333
Tb In Sm
12 3 1
direct
0.000 0.500 0.623
0.500 0.500 0.744
0.000 0.500 0.377
0.000 0.500 0.868
0.500 0.500 0.000
0.500 0.000 0.623
0.500 0.500 0.500
0.500 0.000 0.132
0.000 0.500 0.132
0.500 0.000 0.868
0.500 0.500 0.256
0.500 0.000 0.377
0.000 0.000 0.257
0.000 0.000 0.500
0.000 0.000 0.743
0.000 0.000 0.000
```

Computed properties:
Spin magnetization ... 0.000 μB per cell
ΔH_f (0 K) ... -0.192 eV/atom
SG ... P4/mmm (123)

[7]
A relaxed structure of Na3TaGe2O8. Source: Alexandria, functional PBE.

```
Na3TaGe2O8
1.0
-0.873 -5.459 0.533
2.338 2.857 4.150
-6.242 1.257 2.651
O Na Ge Ta
8 3 2 1
direct
0.666 0.833 0.331
0.334 0.167 0.669
0.833 0.167 0.669
0.167 0.833 0.331
0.167 0.334 0.331
0.833 0.666 0.669
0.333 0.667 0.967
0.667 0.333 0.033
0.000 0.000 0.000
0.667 0.333 0.344
0.333 0.667 0.656
0.333 0.667 0.210
0.667 0.333 0.790
0.000 0.000 0.500
```

Computed properties:
Spin magnetization ... 0.000 μB per cell
Raw formation energy ... -191.0 kJ per mole of atoms
SG ... P-3m1 (164)

[8]
A relaxed structure of PmIr. Source: Alexandria, functional PBE.

```
PmIr
1.0
-3.284 -2.283 -0.735
1.932 -3.332 1.715
-0.369 2.471 5.215
Ir Pm
2 2
direct
0.076 0.750 0.153
0.924 0.250 0.847
0.646 0.250 0.292
0.354 0.750 0.708
```

Computed properties:
Spin magnetization ... 0.000 μB per cell
ΔH_f (0 K) ... -0.654 eV/atom
SG ... Cmcm (63)

[9]
A relaxed structure of Lu2HfSn. Source: Alexandria, functional PBE.

```
Lu2HfSn
1.0
-2.922 3.058 -1.827
0.067 -2.313 -3.978
-3.558 -2.550 1.423
Hf Sn Lu
1 1 2
direct
0.500 0.000 0.000
0.500 0.500 0.500
0.000 0.500 0.000
0.000 0.000 0.500
```

Computed properties:
Spin magnetization ... 0.008 μB per cell
ΔH_f (0 K) ... -0.257 eV/atom
SG ... P4/mmm (123)

[10]
A relaxed structure of AcZn2Ag4. Source: Alexandria, functional PBE.

```
AcZn2Ag4
1.0
1.356 -1.296 5.149
2.755 -4.997 0.866
5.179 1.685 1.909
Ag Ac Zn
4 1 2
direct
0.306 0.998 0.389
0.306 0.389 0.998
0.694 0.611 0.002
0.694 0.002 0.611
0.000 0.000 0.000
0.751 0.500 0.500
0.248 0.500 0.500
```

Computed properties:
Spin magnetization ... 0.000 μB per cell
ΔH_f (0 K) ... -0.180 eV/atom
SG ... C2/m (12)

[11]
A relaxed structure of MnTeP2S. Source: Alexandria, functional PBE.

```
MnTeP2S
1.0
-4.200 -0.215 2.754
-0.517 -4.862 -1.168
2.716 -1.260 4.044
Te S Mn P
1 1 1 2
direct
0.000 0.000 0.000
0.000 0.000 0.500
0.500 0.500 0.500
0.000 0.500 0.000
0.500 0.000 0.000
```

Computed properties:
Spin magnetization ... 4.385 μB per cell
Raw formation energy ... 116.2 kJ per mole of atoms
SG ... P4/mmm (123)

[12]
A relaxed structure of InRuN2F. Source: Alexandria, functional PBE.

```
InRuN2F
1.0
4.212 0.000 0.000
0.000 4.212 0.000
0.000 0.000 4.123
Ru N F In
1 2 1 1
direct
0.500 0.500 0.500
0.500 0.000 0.000
0.000 0.500 0.000
0.000 0.000 0.500
0.000 0.000 0.000
```

Computed properties:
Spin magnetization ... 3.640 μB per cell
Raw formation energy ... 120.5 kJ per mole of atoms
SG ... P4/mmm (123)

[13]
A relaxed structure of GaRe2Ni. Source: Alexandria, functional PBE.

```
GaRe2Ni
1.0
-2.228 -6.569 0.381
0.219 -0.476 -6.927
1.380 -4.324 -3.142
Ni Re Ga
2 4 2
direct
0.500 0.500 0.000
0.250 0.750 0.500
0.875 0.848 0.750
0.598 0.125 0.250
0.152 0.625 0.250
0.375 0.402 0.750
0.000 0.000 0.000
0.750 0.250 0.500
```

Computed properties:
Spin magnetization ... 0.000 μB per cell
ΔH_f (0 K) ... 0.735 eV/atom
SG ... I-42d (122)

[14]
A relaxed structure of Rb2Cu2Sn. Source: Alexandria, functional PBE.

```
Rb2Cu2Sn
1.0
7.044 0.000 0.000
0.000 7.044 0.000
0.000 0.000 5.837
Rb Cu Sn
4 4 2
direct
0.819 0.319 0.500
0.681 0.819 0.500
0.181 0.681 0.500
0.319 0.181 0.500
0.372 0.872 0.000
0.128 0.372 0.000
0.872 0.628 0.000
0.628 0.128 0.000
0.500 0.500 0.000
0.000 0.000 0.000
```

Computed properties:
Spin magnetization ... 0.000 μB per cell
ΔH_f (0 K) ... 0.239 eV/atom
SG ... P4/mbm (127)

[15]
A relaxed structure of Tb7Dy2Mg. Source: Alexandria, functional PBE.

```
Tb7Dy2Mg
1.0
-1.304 4.280 -3.032
-8.295 -3.683 -1.630
1.838 5.590 7.100
Dy Mg Tb
2 1 7
direct
0.500 0.706 0.294
0.500 0.294 0.706
0.000 0.000 0.000
0.500 0.714 0.930
0.500 0.070 0.286
0.000 0.207 0.793
0.500 0.500 0.500
0.500 0.930 0.714
0.500 0.286 0.070
0.000 0.793 0.207
```

Computed properties:
Spin magnetization ... 0.000 μB per cell
ΔH_f (0 K) ... 0.661 eV/atom
SG ... Cmmm (65)

[16]
A relaxed structure of Dy6TlAg. Source: Alexandria, functional PBE.

```
Dy6TlAg
1.0
-3.270 3.815 0.665
-3.869 -3.254 -0.359
-3.289 -1.033 9.019
Dy Ag Tl
6 1 1
direct
0.250 0.250 0.499
0.750 0.750 0.501
0.888 0.388 0.224
0.112 0.612 0.776
0.612 0.112 0.776
0.388 0.888 0.224
0.000 0.000 0.000
0.500 0.500 0.000
```

Computed properties:
Spin magnetization ... 0.000 μB per cell
ΔH_f (0 K) ... -0.149 eV/atom
SG ... I4/mmm (139)

[17]
A relaxed structure of SrAg2AuCl8. Source: Alexandria, functional PBE.

```
SrAg2AuCl8
1.0
0.067 2.562 6.725
-6.427 0.076 -0.482
-0.297 -7.317 2.790
Au Sr Cl Ag
1 1 8 2
direct
0.000 0.000 0.000
0.000 0.000 0.500
0.335 0.306 0.500
0.641 0.716 0.000
0.866 0.211 0.206
0.359 0.284 0.000
0.134 0.789 0.794
0.134 0.789 0.206
0.866 0.211 0.794
0.665 0.694 0.500
0.500 0.500 0.758
0.500 0.500 0.242
```

Computed properties:
Spin magnetization ... 0.414 μB per cell
Raw formation energy ... -79.3 kJ per mole of atoms
SG ... P2/m (10)

[18]
A relaxed structure of MgCd2Ga2. Source: Alexandria, functional PBE.

```
MgCd2Ga2
1.0
4.278 0.000 0.000
0.000 4.278 0.000
2.139 2.139 6.047
Ga Cd Mg
2 2 1
direct
0.600 0.600 0.799
0.400 0.400 0.201
0.750 0.250 0.500
0.250 0.750 0.500
0.000 0.000 0.000
```

Computed properties:
Spin magnetization ... 0.000 μB per cell
ΔH_f (0 K) ... 0.049 eV/atom
SG ... I4/mmm (139)

[19]
A relaxed structure of CsYAgI5. Source: Alexandria, functional PBE.

```
CsYAgI5
1.0
8.623 0.018 -0.001
-2.500 8.253 -0.001
-2.536 -3.425 10.769
Y I Cs Ag
2 10 2 2
direct
0.000 0.000 0.000
0.000 0.000 0.500
0.229 0.369 0.561
0.095 0.693 0.905
0.771 0.631 0.439
0.070 0.930 0.250
0.369 0.229 0.061
0.930 0.070 0.750
0.693 0.095 0.405
0.307 0.905 0.595
0.631 0.771 0.939
0.905 0.307 0.095
0.649 0.351 0.750
0.351 0.649 0.250
0.310 0.690 0.750
0.690 0.310 0.250
```

Computed properties:
Spin magnetization ... 0.000 μB per cell
Raw formation energy ... -110.5 kJ per mole of atoms
SG ... C2/c (15)

[20]
A relaxed structure of ThHg2Ru. Source: Alexandria, functional PBE.

```
ThHg2Ru
1.0
-2.081 -3.323 0.073
6.755 -4.343 -5.112
3.273 0.342 4.035
Th Ru Hg
2 2 4
direct
0.933 0.250 0.360
0.067 0.750 0.640
0.226 0.250 0.957
0.774 0.750 0.043
0.642 0.458 0.785
0.358 0.542 0.215
0.358 0.958 0.215
0.642 0.042 0.785
```

Computed properties:
Spin magnetization ... 0.000 μB per cell
ΔH_f (0 K) ... -0.213 eV/atom
SG ... P2_1/m (11)

[21]
A relaxed structure of TiZn3Cu3. Source: Alexandria, functional PBE.

```
TiZn3Cu3
1.0
-1.519 4.863 -3.416
-3.974 -3.669 -2.893
-3.742 1.291 3.502
Cu Zn Ti
6 6 2
direct
0.000 0.500 0.258
0.000 0.000 0.760
0.000 0.000 0.240
0.500 0.000 0.742
0.000 0.500 0.742
0.500 0.000 0.258
0.239 0.239 0.500
0.761 0.761 0.500
0.343 0.657 0.500
0.243 0.757 0.000
0.757 0.243 0.000
0.657 0.343 0.500
0.316 0.316 0.000
0.684 0.684 0.000
```

Computed properties:
Spin magnetization ... 0.000 μB per cell
ΔH_f (0 K) ... -0.022 eV/atom
SG ... Cmmm (65)

[22]
A relaxed structure of Si2AgPt. Source: Alexandria, functional PBE.

```
Si2AgPt
1.0
5.665 -0.031 0.017
2.907 4.862 -0.017
-3.581 -3.667 2.413
Si Pt Ag
2 1 1
direct
0.465 0.465 0.000
0.035 0.035 0.000
0.250 0.750 0.500
0.750 0.250 0.500
```

Computed properties:
Spin magnetization ... 0.000 μB per cell
Raw formation energy ... 9.8 kJ per mole of atoms
SG ... Immm (71)

[23]
A relaxed structure of Co2CuTc. Source: Alexandria, functional PBE.

```
Co2CuTc
1.0
0.000 2.887 2.887
2.887 0.000 2.887
2.887 2.887 0.000
Co Cu Tc
2 1 1
direct
0.250 0.250 0.250
0.750 0.750 0.750
0.000 0.000 0.000
0.500 0.500 0.500
```

Computed properties:
Spin magnetization ... 2.154 μB per cell
ΔH_f (0 K) ... 0.235 eV/atom
SG ... Fm-3m (225)

[24]
A relaxed structure of Pm12ScSi7. Source: Alexandria, functional PBE.

```
Pm12ScSi7
1.0
9.128 -0.126 -0.190
-2.659 8.732 -0.190
-2.659 -3.538 7.986
Sc Si Pm
1 7 12
direct
0.000 0.000 0.000
0.339 0.116 0.035
0.035 0.339 0.116
0.965 0.661 0.884
0.116 0.035 0.339
0.661 0.884 0.965
0.884 0.965 0.661
0.500 0.500 0.500
0.688 0.226 0.075
0.075 0.688 0.226
0.774 0.925 0.312
0.383 0.467 0.152
0.226 0.075 0.688
0.467 0.152 0.383
0.152 0.383 0.467
0.925 0.312 0.774
0.533 0.848 0.617
0.617 0.533 0.848
0.848 0.617 0.533
0.312 0.774 0.925
```

Computed properties:
Spin magnetization ... 2.686 μB per cell
Raw formation energy ... -29.5 kJ per mole of atoms
SG ... R-3 (148)